The following is a PBE calculation of crystalline DyPa2Mn9 at its relaxed geometry, from the Alexandria database.

a b c (Å): 8.384 8.384 5.122
angles (deg): 90.00 90.00 90.00
Sites, in units of the cell vectors:
1 Dy 0.000 0.000 0.000
2 Dy 0.500 0.500 0.000
3 Pa 0.128 0.372 0.000
4 Pa 0.372 0.872 0.000
5 Pa 0.628 0.128 0.000
6 Pa 0.872 0.628 0.000
7 Mn 0.000 0.500 0.500
8 Mn 0.071 0.206 0.500
9 Mn 0.177 0.677 0.250
10 Mn 0.177 0.677 0.750
11 Mn 0.206 0.929 0.500
12 Mn 0.294 0.429 0.500
13 Mn 0.323 0.177 0.250
14 Mn 0.323 0.177 0.750
15 Mn 0.429 0.706 0.500
16 Mn 0.500 0.000 0.500
17 Mn 0.571 0.294 0.500
18 Mn 0.677 0.823 0.250
19 Mn 0.677 0.823 0.750
20 Mn 0.706 0.571 0.500
21 Mn 0.794 0.071 0.500
22 Mn 0.823 0.323 0.250
23 Mn 0.823 0.323 0.750
24 Mn 0.929 0.794 0.500

Values from the calculation:
The calculation puts the formation energy at 0.0241 eV/atom. The value obtained for the total energy is -8.82 eV/atom.

The following is a PBE calculation of crystalline DyPaMn2 at its relaxed geometry, from the Alexandria database.

a b c (Å): 4.799 4.799 3.372
angles (deg): 90.00 90.00 90.00
Sites, in units of the cell vectors:
1 Dy 0.000 0.000 0.000
2 Pa 0.500 0.500 0.000
3 Mn 0.000 0.500 0.500
4 Mn 0.500 0.000 0.500

Values from the calculation:
The calculation puts the formation energy at 0.2113 eV/atom. The value obtained for the total energy is -7.90 eV/atom. For the distance to the lowest polymorph of the same formula, the calculation gives 155 meV per atom.

The following is a PBE calculation of crystalline DyPaMnRu at its relaxed geometry, from the Alexandria database.

a b c (Å): 4.820 4.820 4.820
angles (deg): 60.00 60.00 60.00
Sites, in units of the cell vectors:
1 Dy 0.000 0.000 0.000
2 Pa 0.500 0.500 0.500
3 Mn 0.250 0.250 0.250
4 Ru 0.750 0.750 0.750

Values from the calculation:
The calculation puts the formation energy at -0.0763 eV/atom. The value obtained for the total energy is -8.21 eV/atom.

The following is a PBE calculation of crystalline DyPaMnS6 at its relaxed geometry, from the Alexandria database.

a b c (Å): 6.364 6.364 5.884
angles (deg): 90.00 90.00 120.00
Sites, in units of the cell vectors:
1 Dy 0.000 0.000 0.000
2 Pa 0.667 0.333 0.500
3 Mn 0.333 0.667 0.000
4 S 0.026 0.373 0.240
5 S 0.026 0.653 0.760
6 S 0.347 0.373 0.760
7 S 0.347 0.974 0.240
8 S 0.627 0.653 0.240
9 S 0.627 0.974 0.760

Values from the calculation:
The value obtained for the total energy is -6.49 eV/atom.

The following is a PBE calculation of crystalline Dy2PaMnS6 at its relaxed geometry, from the Alexandria database.

a b c (Å): 6.704 6.704 5.714
angles (deg): 90.00 90.00 90.00
Sites, in units of the cell vectors:
1 Dy 0.000 0.500 0.000
2 Dy 0.500 0.000 0.000
3 Pa 0.000 0.000 0.663
4 Mn 0.500 0.500 0.876
5 S 0.000 0.000 0.194
6 S 0.263 0.263 0.758
7 S 0.263 0.737 0.758
8 S 0.500 0.500 0.259
9 S 0.737 0.263 0.758
10 S 0.737 0.737 0.758

Values from the calculation:
The value obtained for the total energy is -6.51 eV/atom.

The following is a PBE calculation of crystalline DyPaMnSe6 at its relaxed geometry, from the Alexandria database.

a b c (Å): 6.697 6.697 6.195
angles (deg): 90.00 90.00 120.00
Sites, in units of the cell vectors:
1 Dy 0.000 0.000 0.000
2 Pa 0.667 0.333 0.500
3 Mn 0.333 0.667 0.000
4 Se 0.024 0.368 0.242
5 Se 0.024 0.655 0.758
6 Se 0.345 0.368 0.758
7 Se 0.345 0.976 0.242
8 Se 0.632 0.655 0.242
9 Se 0.632 0.976 0.758

Values from the calculation:
The value obtained for the total energy is -5.88 eV/atom.

The following is a PBE calculation of crystalline DyMnPb2S5 at its relaxed geometry, from the Alexandria database.

a b c (Å): 9.055 9.055 12.602
angles (deg): 90.00 90.00 154.60
Sites, in units of the cell vectors:
1 Dy 0.198 0.802 0.500
2 Dy 0.802 0.198 0.000
3 Mn 0.445 0.555 0.899
4 Mn 0.555 0.445 0.399
5 Pb 0.118 0.882 0.801
6 Pb 0.135 0.865 0.146
7 Pb 0.865 0.135 0.646
8 Pb 0.882 0.118 0.301
9 S 0.039 0.961 0.487
10 S 0.298 0.702 0.148
11 S 0.319 0.681 0.850
12 S 0.349 0.651 0.487
13 S 0.492 0.508 0.245
14 S 0.508 0.492 0.745
15 S 0.651 0.349 0.987
16 S 0.681 0.319 0.350
17 S 0.702 0.298 0.648
18 S 0.961 0.039 0.987

Values from the calculation:
The value obtained for the total energy is -5.55 eV/atom.

The following is a PBE calculation of crystalline DyMnPbS4 at its relaxed geometry, from the Alexandria database.

a b c (Å): 6.663 6.102 8.209
angles (deg): 90.00 107.63 90.00
Sites, in units of the cell vectors:
1 Dy 0.240 0.250 0.058
2 Dy 0.760 0.750 0.942
3 Mn 0.232 0.750 0.820
4 Mn 0.768 0.250 0.180
5 Pb 0.282 0.250 0.560
6 Pb 0.718 0.750 0.440
7 S 0.013 0.508 0.226
8 S 0.013 0.992 0.226
9 S 0.431 0.750 0.634
10 S 0.438 0.750 0.095
11 S 0.562 0.250 0.905
12 S 0.569 0.250 0.366
13 S 0.987 0.008 0.774
14 S 0.987 0.492 0.774

Values from the calculation:
The value obtained for the total energy is -5.85 eV/atom.